The following is a DFT calculation (PBE) of Li3HoEr2Pb3 after structural relaxation.

Output
Symmetry: P-6m2

abc: 4.7727 4.7727 10.7517
angles: 90.00 90.00 120.00
Atoms (fractional coordinates):
Li1 0.0000 0.0000 0.0000
Li2 0.3333 0.6667 0.3106
Li3 0.3333 0.6667 0.6894
Ho1 0.6667 0.3333 0.5000
Er1 0.6667 0.3333 0.1645
Er2 0.6667 0.3333 0.8355
Pb1 0.0000 0.0000 0.3274
Pb2 0.0000 0.0000 0.6726
Pb3 0.3333 0.6667 0.0000

***

The following is a DFT calculation (PBE) of HoEr2Lu after structural relaxation.

Output
Symmetry: Cmcm
Formation energy from the elements in eV/atom: -0.001

abc: 7.1179 12.3262 5.5144
angles: 90.00 90.00 90.00
Atoms (fractional coordinates):
Ho1 0.0000 0.1670 0.2500
Ho2 0.0000 0.8330 0.7500
Ho3 0.5000 0.3330 0.7500
Ho4 0.5000 0.6670 0.2500
Er1 0.2493 0.4165 0.2500
Er2 0.2493 0.5835 0.7500
Er3 0.2507 0.0835 0.7500
Er4 0.2507 0.9165 0.2500
Er5 0.7493 0.0835 0.7500
Er6 0.7493 0.9165 0.2500
Er7 0.7507 0.4165 0.2500
Er8 0.7507 0.5835 0.7500
Lu1 0.0000 0.3336 0.7500
Lu2 0.0000 0.6664 0.2500
Lu3 0.5000 0.1664 0.2500
Lu4 0.5000 0.8336 0.7500

***

Number 1: calculated volume 212.10 Å³/f.u., E -34.6 eV/cell, calculated density 8940 kg/m³. Number 2: calculated volume 120.96 Å³/f.u., E -72.9 eV/cell, calculated density 9259 kg/m³.